1.
Compound: YHgPd2
Source: Alexandria via LeMat-Bulk
Functional: PBE
Structure: optimized geometry

Output
E_tot in eV/cell: -19.67
Formation energy in eV/atom: -0.63
Space group: P4/mmm

Geometry as CIF:
```
data_YHgPd2
_cell_length_a 3.613
_cell_length_b 3.613
_cell_length_c 6.082
_cell_angle_alpha 90.00
_cell_angle_beta 90.00
_cell_angle_gamma 90.00
_symmetry_space_group_name_H-M 'P 1'
_symmetry_Int_Tables_number 1
loop_
_symmetry_equiv_pos_as_xyz
'x,y,z'
loop_
_atom_site_label
_atom_site_type_symbol
_atom_site_fract_x
_atom_site_fract_y
_atom_site_fract_z
Y1 Y 0.000 0.000 0.000
Hg1 Hg 0.000 0.000 0.500
Pd1 Pd 0.500 0.500 0.257
Pd2 Pd 0.500 0.500 0.743
```

=====

2.
Compound: YHg5Pd6
Source: Alexandria via LeMat-Bulk
Functional: PBE
Structure: optimized geometry

Output
E_tot in eV/cell: -43.18
Formation energy in eV/atom: -0.34
Space group: Immm

Geometry as CIF:
```
data_YHg5Pd6
_cell_length_a 7.938
_cell_length_b 7.938
_cell_length_c 7.938
_cell_angle_alpha 148.01
_cell_angle_beta 121.90
_cell_angle_gamma 67.88
_symmetry_space_group_name_H-M 'P 1'
_symmetry_Int_Tables_number 1
loop_
_symmetry_equiv_pos_as_xyz
'x,y,z'
loop_
_atom_site_label
_atom_site_type_symbol
_atom_site_fract_x
_atom_site_fract_y
_atom_site_fract_z
Y1 Y 0.000 0.000 0.000
Hg1 Hg 0.166 0.666 0.500
Hg2 Hg 0.333 0.333 0.000
Hg3 Hg 0.500 0.000 0.500
Hg4 Hg 0.667 0.667 0.000
Hg5 Hg 0.834 0.334 0.500
Pd1 Pd 0.081 0.832 0.249
Pd2 Pd 0.253 0.500 0.753
Pd3 Pd 0.417 0.168 0.249
Pd4 Pd 0.583 0.832 0.751
Pd5 Pd 0.747 0.500 0.247
Pd6 Pd 0.919 0.168 0.751
```

=====

3.
Compound: Y2HgPd8
Source: Alexandria via LeMat-Bulk
Functional: PBE
Structure: optimized geometry

Output
E_tot in eV/cell: -60.52
Formation energy in eV/atom: -0.52
Space group: C2/m

Geometry as CIF:
```
data_Y2HgPd8
_cell_length_a 7.648
_cell_length_b 7.648
_cell_length_c 6.595
_cell_angle_alpha 106.74
_cell_angle_beta 106.74
_cell_angle_gamma 32.29
_symmetry_space_group_name_H-M 'P 1'
_symmetry_Int_Tables_number 1
loop_
_symmetry_equiv_pos_as_xyz
'x,y,z'
loop_
_atom_site_label
_atom_site_type_symbol
_atom_site_fract_x
_atom_site_fract_y
_atom_site_fract_z
Y1 Y 0.216 0.216 0.166
Y2 Y 0.784 0.784 0.834
Hg1 Hg 0.500 0.500 0.500
Pd1 Pd 0.036 0.036 0.222
Pd2 Pd 0.143 0.143 0.683
Pd3 Pd 0.328 0.328 0.599
Pd4 Pd 0.409 0.409 0.053
Pd5 Pd 0.591 0.591 0.947
Pd6 Pd 0.672 0.672 0.401
Pd7 Pd 0.857 0.857 0.317
Pd8 Pd 0.964 0.964 0.778
```

=====

4.
Compound: Y6Hg5Pd
Source: Alexandria via LeMat-Bulk
Functional: PBE
Structure: optimized geometry

Output
E_tot in eV/cell: -52.26
Formation energy in eV/atom: -0.56
Space group: Cmmm

Geometry as CIF:
```
data_Y6Hg5Pd
_cell_length_a 8.238
_cell_length_b 8.238
_cell_length_c 7.409
_cell_angle_alpha 90.00
_cell_angle_beta 90.00
_cell_angle_gamma 143.12
_symmetry_space_group_name_H-M 'P 1'
_symmetry_Int_Tables_number 1
loop_
_symmetry_equiv_pos_as_xyz
'x,y,z'
loop_
_atom_site_label
_atom_site_type_symbol
_atom_site_fract_x
_atom_site_fract_y
_atom_site_fract_z
Y1 Y 0.000 0.000 0.240
Y2 Y 0.000 0.000 0.760
Y3 Y 0.338 0.662 0.246
Y4 Y 0.338 0.662 0.754
Y5 Y 0.662 0.338 0.246
Y6 Y 0.662 0.338 0.754
Hg1 Hg 0.168 0.832 0.500
Hg2 Hg 0.171 0.829 0.000
Hg3 Hg 0.500 0.500 0.500
Hg4 Hg 0.829 0.171 0.000
Hg5 Hg 0.832 0.168 0.500
Pd1 Pd 0.500 0.500 0.000
```

=====

Among the records above, which one has the highest formation energy? YHg5Pd6